No. 1
# Ca3TiSi | Alexandria via LeMat-Bulk | PBE | relaxed
# E above lowest polymorph ... 0.482 eV per atom
data_Ca3TiSi
_cell_length_a 5.6428
_cell_length_b 5.6428
_cell_length_c 5.6428
_cell_angle_alpha 90.00
_cell_angle_beta 90.00
_cell_angle_gamma 90.00
_space_group_name_H-M_alt 'P m -3 m'
_space_group_IT_number 221
_space_group_name_Hall '-P 4 2 3'
loop_
_atom_site_label
_atom_site_fract_x
_atom_site_fract_y
_atom_site_fract_z
Ca1 0.0000 0.0000 0.5000
Ti1 0.0000 0.0000 0.0000
Si1 0.5000 0.5000 0.5000

No. 2
# Mn2BeIn | Alexandria via LeMat-Bulk | PBE | relaxed
# Energy relative to the elements ... 0.1553 eV per atom
# E above lowest polymorph ... 0.000 eV per atom
data_Mn2BeIn
_cell_length_a 2.8296
_cell_length_b 2.8296
_cell_length_c 6.7608
_cell_angle_alpha 90.00
_cell_angle_beta 90.00
_cell_angle_gamma 90.00
_space_group_name_H-M_alt 'P 4/m m m'
_space_group_IT_number 123
_space_group_name_Hall '-P 4 2'
loop_
_atom_site_label
_atom_site_fract_x
_atom_site_fract_y
_atom_site_fract_z
Mn1 0.0000 0.0000 0.1957
Be1 0.5000 0.5000 0.0000
In1 0.5000 0.5000 0.5000

No. 3
# GeP2Pb2 | Alexandria via LeMat-Bulk | PBE | relaxed
# Energy relative to the elements ... 0.2487 eV per atom
# E above lowest polymorph ... 0.000 eV per atom
data_GeP2Pb2
_cell_length_a 3.4333
_cell_length_b 3.4333
_cell_length_c 19.8472
_cell_angle_alpha 90.00
_cell_angle_beta 90.00
_cell_angle_gamma 90.00
_space_group_name_H-M_alt 'I 4/m m m'
_space_group_IT_number 139
_space_group_name_Hall '-I 4 2'
loop_
_atom_site_label
_atom_site_fract_x
_atom_site_fract_y
_atom_site_fract_z
Ge1 0.0000 0.0000 0.0000
P1 0.0000 0.5000 0.2500
Pb1 0.0000 0.0000 0.3925

No. 4
# RbHgF2 | Alexandria via LeMat-Bulk | PBE | relaxed
# E above lowest polymorph ... 0.350 eV per atom
data_RbHgF2
_cell_length_a 6.7950
_cell_length_b 6.7950
_cell_length_c 6.7950
_cell_angle_alpha 90.00
_cell_angle_beta 90.00
_cell_angle_gamma 90.00
_space_group_name_H-M_alt 'F m -3 m'
_space_group_IT_number 225
_space_group_name_Hall '-F 4 2 3'
loop_
_atom_site_label
_atom_site_fract_x
_atom_site_fract_y
_atom_site_fract_z
Rb1 0.0000 0.0000 0.0000
Hg1 0.0000 0.0000 0.5000
F1 0.2500 0.2500 0.2500

No. 5
FeRhNCl2 | PBE | relaxed

CIF file:
```
data_FeRhNCl2
_cell_length_a 4.5780
_cell_length_b 4.5780
_cell_length_c 5.0233
_cell_angle_alpha 90.00
_cell_angle_beta 90.00
_cell_angle_gamma 90.00
_space_group_name_H-M_alt 'P 4/m m m'
_space_group_IT_number 123
_space_group_name_Hall '-P 4 2'
loop_
_atom_site_label
_atom_site_fract_x
_atom_site_fract_y
_atom_site_fract_z
Fe1 0.0000 0.0000 0.0000
Rh1 0.0000 0.0000 0.5000
N1 0.5000 0.5000 0.0000
Cl1 0.0000 0.5000 0.5000
```

No. 6
# NpBeP | Alexandria via LeMat-Bulk | PBE | relaxed
# Energy relative to the elements ... 0.0683 eV per atom
# E above lowest polymorph ... 0.650 eV per atom
data_NpBeP
_cell_length_a 3.7998
_cell_length_b 3.7998
_cell_length_c 7.4144
_cell_angle_alpha 90.00
_cell_angle_beta 90.00
_cell_angle_gamma 90.00
_space_group_name_H-M_alt 'I 4 m m'
_space_group_IT_number 107
_space_group_name_Hall 'I 4 -2'
loop_
_atom_site_label
_atom_site_fract_x
_atom_site_fract_y
_atom_site_fract_z
Np1 0.0000 0.0000 0.0000
Be1 0.0000 0.0000 0.3622
P1 0.0000 0.0000 0.6360

No. 7
# LiTi3Ga | Alexandria via LeMat-Bulk | PBE | relaxed
# Energy relative to the elements ... 0.6248 eV per atom
data_LiTi3Ga
_cell_length_a 4.3751
_cell_length_b 4.3751
_cell_length_c 4.3751
_cell_angle_alpha 90.00
_cell_angle_beta 90.00
_cell_angle_gamma 90.00
_space_group_name_H-M_alt 'P m -3 m'
_space_group_IT_number 221
_space_group_name_Hall '-P 4 2 3'
loop_
_atom_site_label
_atom_site_fract_x
_atom_site_fract_y
_atom_site_fract_z
Li1 0.0000 0.0000 0.0000
Ti1 0.0000 0.0000 0.5000
Ga1 0.5000 0.5000 0.5000

No. 8
# Ho3In2Co2 | Alexandria via LeMat-Bulk | PBE | relaxed
# Energy relative to the elements ... -0.3925 eV per atom
data_Ho3In2Co2
_cell_length_a 3.7679
_cell_length_b 21.7782
_cell_length_c 3.7793
_cell_angle_alpha 90.00
_cell_angle_beta 90.00
_cell_angle_gamma 90.00
_space_group_name_H-M_alt 'C m m m'
_space_group_IT_number 65
_space_group_name_Hall '-C 2 2'
loop_
_atom_site_label
_atom_site_fract_x
_atom_site_fract_y
_atom_site_fract_z
Ho1 0.0000 0.0000 0.0000
Ho2 0.0000 0.1778 0.0000
In1 0.0000 0.4104 0.5000
Co1 0.0000 0.2786 0.5000

| no. | magnetic moment (μB per cell) | calculated total energy (eV per atom) |
| --- | --- | --- |
| 1 | 3.9 | -2.865 |
| 2 | 5.3 | -6.046 |
| 3 | 0.0 | -4.322 |
| 4 | 1.7 | -2.812 |
| 5 | 3.6 | -4.061 |
| 6 | 7.9 | -7.291 |
| 7 | 0.0 | -5.100 |
| 8 | 2.6 | -5.167 |